! Zr2InHRh PBE-GGA optimized geometry; values from VASP
! * E_tot: -6.550 eV per atom
! * space group: No. 123
&SYSTEM
  ibrav = 0, nat = 5, ntyp = 4
/
ATOMIC_SPECIES
Zr 91.22 Zr.upf
H 1.01 H.upf
Rh 102.91 Rh.upf
In 114.82 In.upf
ATOMIC_POSITIONS angstrom
Zr -0.584 -1.886 -0.999
Zr -2.130 0.449 0.397
H 0.000 0.000 0.000
Rh 0.127 -0.995 1.805
In -2.587 -2.432 1.203
CELL_PARAMETERS angstrom
-4.260 0.897 0.794
-1.167 -3.772 -1.998
0.254 -1.990 3.609